An optimized crystal structure of KNbB2, computed with PBE.

Structure (CIF):
```
data_KNbB2
_chemical_formula_sum 'K4 Nb4 B8'
_cell_length_a 6.719
_cell_length_b 6.719
_cell_length_c 8.002
_cell_angle_alpha 90.00
_cell_angle_beta 90.00
_cell_angle_gamma 90.00
_space_group_name_H-M_alt 'I -4 2 d'
_space_group_IT_number 122
_space_group_name_Hall 'I -4 2bw'
loop_
_atom_site_label
_atom_site_type_symbol
_atom_site_fract_x
_atom_site_fract_y
_atom_site_fract_z
_atom_site_occupancy
K1 K 0.000 0.000 0.000 1
Nb1 Nb 0.000 0.000 0.500 1
B1 B 0.133 0.250 0.625 1
```

## Properties
Relative energy among the computed polymorphs: 0 meV/atom
Energy relative to the elements: 1.123 eV/atom
Total magnetic moment: 0.000 μB/atom